# 1
RbHgB4: optimized geometry, PBE.

* crystal system: orthorhombic
* uncorrected energy: -0.144 Ha/atom
* symmetry: Immm, No. 71
* V: 86.4 Å³/cell

Cell lengths 6.050, 6.050, 6.050 Å; angles 150.92, 125.91, 62.58 degrees
Sites, in units of the cell vectors:
B: 0.088 0.749 0.340
B: 0.591 0.251 0.340
B: 0.912 0.251 0.660
B: 0.409 0.749 0.660
Hg: 0.000 0.000 0.000
Rb: 0.500 0.500 0.000

=====

# 2
TbHo2Sn3Pt3: optimized geometry, PBE.

* crystal system: orthorhombic
* uncorrected energy: -0.220 Ha/atom
* symmetry: Amm2, No. 38
* total moment: 0.0 μB/cell
* V: 196.0 Å³/cell

Cell lengths 4.019, 7.509, 7.509 Å; angles 120.10, 90.00, 90.00 degrees
Sites, in units of the cell vectors:
Ho: 0.000 0.406 0.000
Ho: 0.000 0.000 0.406
Pt: 0.000 0.001 0.001
Pt: 0.500 0.667 0.332
Pt: 0.500 0.332 0.667
Sn: 0.500 0.742 0.000
Sn: 0.500 0.259 0.259
Sn: 0.500 0.000 0.742
Tb: 0.000 0.594 0.594

=====

# 3
NdHgSeO: optimized geometry, PBE.

* crystal system: monoclinic
* uncorrected energy: -0.189 Ha/atom
* symmetry: P2_1/c, No. 14
* total moment: 0.0 μB/cell
* V: 330.6 Å³/cell

Cell lengths 9.178, 6.104, 6.023 Å; angles 90.00, 78.47, 90.00 degrees
Sites, in units of the cell vectors:
Hg: 0.995 0.282 0.003
Hg: 0.005 0.782 0.497
Hg: 0.995 0.218 0.503
Hg: 0.005 0.718 0.997
Nd: 0.616 0.500 0.215
Nd: 0.384 0.000 0.285
Nd: 0.616 0.000 0.715
Nd: 0.384 0.500 0.785
O: 0.501 0.252 0.000
O: 0.499 0.748 0.000
O: 0.501 0.248 0.500
O: 0.499 0.752 0.500
Se: 0.774 0.995 0.145
Se: 0.226 0.495 0.355
Se: 0.774 0.505 0.645
Se: 0.226 0.005 0.855

=====

# 4
CdSnBi4Se8: optimized geometry, PBE.

* crystal system: monoclinic
* uncorrected energy: -0.144 Ha/atom
* symmetry: C2/m, No. 12
* V: 410.5 Å³/cell

Cell lengths 7.291, 7.291, 15.626 Å; angles 64.90, 64.90, 33.45 degrees
Sites, in units of the cell vectors:
Bi: 0.213 0.213 0.136
Bi: 0.850 0.850 0.368
Bi: 0.150 0.150 0.632
Bi: 0.787 0.787 0.864
Cd: 0.000 0.000 0.000
Se: 0.621 0.621 0.046
Se: 0.831 0.831 0.176
Se: 0.507 0.507 0.306
Se: 0.169 0.169 0.440
Se: 0.831 0.831 0.560
Se: 0.493 0.493 0.694
Se: 0.169 0.169 0.824
Se: 0.379 0.379 0.954
Sn: 0.500 0.500 0.500

=====

# 5
Dy2Er2Lu3Te2Pd2: optimized geometry, PBE.

* crystal system: orthorhombic
* uncorrected energy: -0.193 Ha/atom
* symmetry: Imm2, No. 44
* total moment: 0.0 μB/cell
* V: 290.6 Å³/cell

Cell lengths 9.329, 9.329, 9.329 Å; angles 155.86, 67.50, 118.04 degrees
Sites, in units of the cell vectors:
Dy: 0.711 0.581 0.129
Dy: 0.452 0.581 0.871
Er: 0.691 0.374 0.317
Er: 0.057 0.374 0.683
Lu: 0.000 0.000 0.000
Lu: 0.089 0.731 0.357
Lu: 0.374 0.731 0.643
Pd: 0.304 0.071 0.233
Pd: 0.837 0.071 0.767
Te: 0.335 0.335 0.000
Te: 0.737 0.237 0.500

=====

# 6
Sm4Zn3Ni2: optimized geometry, PBE.

* energy of formation: -0.3600 eV/atom
* crystal system: monoclinic
* uncorrected energy: -0.151 Ha/atom
* symmetry: P2/m, No. 10
* total moment: 0.0 μB/cell
* V: 195.6 Å³/cell

Cell lengths 7.165, 3.655, 7.750 Å; angles 90.00, 105.48, 90.00 degrees
Sites, in units of the cell vectors:
Ni: 0.840 0.000 0.392
Ni: 0.160 0.000 0.608
Sm: 0.576 0.500 0.216
Sm: 0.109 0.500 0.296
Sm: 0.891 0.500 0.704
Sm: 0.424 0.500 0.784
Zn: 0.807 0.000 0.020
Zn: 0.500 0.000 0.500
Zn: 0.193 0.000 0.980